[1]
TbScGe: single point on PBEsol structure, meta-GGA SCAN.

```
TbScGe
1.0
-1.160 -3.450 -2.078
3.639 0.028 -2.078
1.923 -2.653 7.557
Ge Tb Sc
2 2 2
direct
0.129 0.129 0.258
0.871 0.871 0.742
0.323 0.323 0.647
0.677 0.677 0.353
0.000 0.500 0.000
0.500 0.000 0.000
```

Properties
Formation energy, meV per atom: -798.8
Space-group type: I4/mmm

[2]
Sc2TcGe2: single point on PBEsol structure, meta-GGA SCAN.

```
Sc2TcGe2
1.0
3.848 0.000 0.000
0.000 6.629 0.000
0.000 0.000 6.629
Tc Sc Ge
2 4 4
direct
0.000 0.000 0.000
0.000 0.500 0.500
0.500 0.326 0.174
0.500 0.174 0.674
0.500 0.674 0.826
0.500 0.826 0.326
0.000 0.367 0.867
0.000 0.867 0.633
0.000 0.133 0.367
0.000 0.633 0.133
```

Properties
Formation energy, meV per atom: -805.0
Space-group type: P4/mbm

[3]
Sc2V3Ge4: single point on PBEsol structure, meta-GGA SCAN.

```
Sc2V3Ge4
1.0
-3.077 -2.320 5.290
-0.744 -5.917 -3.029
11.046 -3.821 4.750
Ge V Sc
16 12 8
direct
0.964 0.122 0.250
0.177 0.542 0.957
0.177 0.542 0.543
0.310 0.146 0.750
0.036 0.878 0.750
0.464 0.378 0.250
0.323 0.042 0.043
0.690 0.854 0.250
0.323 0.042 0.457
0.677 0.958 0.957
0.810 0.354 0.750
0.536 0.622 0.750
0.677 0.958 0.543
0.823 0.458 0.457
0.190 0.646 0.250
0.823 0.458 0.043
0.659 0.166 0.372
0.159 0.334 0.372
0.659 0.166 0.128
0.341 0.834 0.628
0.336 0.015 0.250
0.841 0.666 0.628
0.159 0.334 0.128
0.841 0.666 0.872
0.341 0.834 0.872
0.164 0.515 0.750
0.664 0.985 0.750
0.836 0.485 0.250
0.491 0.674 0.407
0.491 0.674 0.093
0.009 0.174 0.593
0.009 0.174 0.907
0.509 0.326 0.593
0.991 0.826 0.407
0.991 0.826 0.093
0.509 0.326 0.907
```

Properties
Formation energy, meV per atom: -711.0
Space-group type: Pnma

[4]
YScGe3: single point on PBEsol structure, meta-GGA SCAN.

```
YScGe3
1.0
-5.056 0.693 -0.716
-0.760 -0.286 5.089
0.645 5.098 0.382
Ge Y Sc
3 1 1
direct
0.500 0.000 0.000
0.000 0.000 0.500
0.000 0.500 0.000
0.000 0.000 0.000
0.500 0.500 0.500
```

Properties
Formation energy, meV per atom: 537.3
Space-group type: Pm-3m

[5]
Y2ScGe2: single point on PBEsol structure, meta-GGA SCAN.

```
Y2ScGe2
1.0
-2.818 1.414 -2.782
-5.082 0.056 5.176
1.777 6.831 1.671
Ge Y Sc
4 4 2
direct
0.000 0.628 0.128
0.000 0.372 0.872
0.000 0.872 0.628
0.000 0.128 0.372
0.500 0.674 0.826
0.500 0.826 0.326
0.500 0.174 0.674
0.500 0.326 0.174
0.000 0.500 0.500
0.000 0.000 0.000
```

Properties
Formation energy, meV per atom: -934.0
Space-group type: P4/mbm

[6]
Sc3ZnGe: single point on PBEsol structure, meta-GGA SCAN.

```
Sc3ZnGe
1.0
-2.909 -3.414 -2.186
0.978 -3.202 3.700
-3.934 1.729 2.536
Zn Ge Sc
1 1 3
direct
0.500 0.500 0.500
0.000 0.000 0.000
0.500 0.000 0.000
0.000 0.500 0.000
0.000 0.000 0.500
```

Properties
Formation energy, meV per atom: -39.2
Polymorph energy (0 for the lowest one), eV/atom: 0.0000
Space-group type: Pm-3m

[7]
Si2TcGeSe: single point on PBEsol structure, meta-GGA SCAN.

```
Si2TcGeSe
1.0
4.521 0.000 0.000
0.000 4.778 0.000
0.000 0.000 4.778
Se Si Ge Tc
1 2 1 1
direct
0.000 0.000 0.000
0.000 0.000 0.500
0.000 0.500 0.000
0.500 0.500 0.500
0.500 0.000 0.000
```

Properties
Space-group type: P4/mmm

[8]
TlSi2GeSe: single point on PBEsol structure, meta-GGA SCAN.

```
TlSi2GeSe
1.0
-4.473 -1.758 -0.071
1.091 -2.618 -3.880
1.470 -3.862 3.019
Tl Se Ge Si
1 1 1 2
direct
0.500 0.500 0.500
0.000 0.000 0.500
0.000 0.000 0.000
0.500 0.000 0.000
0.000 0.500 0.000
```

Properties
Space-group type: P4/mmm

| no. | total magnetic moment (Bohr magnetons per cell) | total energy (eV/atom) |
| --- | --- | --- |
| 1 | 1.75 | -27.49 |
| 2 | 0.00 | -21.15 |
| 3 | 0.00 | -18.19 |
| 4 | 0.00 | -19.33 |
| 5 | 0.00 | -22.55 |
| 6 | 0.16 | -15.10 |
| 7 | 2.40 | -17.39 |
| 8 | 0.00 | -25.56 |